This record from Alexandria describes TlFeI2O after structural relaxation. The functional is PBE+U.

The calculation puts the total magnetization at 3.47 μB/cell. Its density of states at the Fermi level is 4.1 states/eV/cell. For the excess energy over the best structure of this formula in the dataset, the calculation gives 0.0 meV per atom.

a b c (Å): 6.247 6.247 3.670
angles (deg): 90.00 90.00 90.00
Element x y z (fractional)
O 0.000 0.000 0.500
I 0.000 0.500 0.000
I 0.500 0.000 0.000
Tl 0.500 0.500 0.500
Fe 0.000 0.000 0.000